## NaCSeBr2 (GGA-PBE)

Data for a relaxed structure of NaCSeBr2.

Unit cell a=5.4313 b=5.4313 c=5.7351 alpha=90.00 beta=90.00 gamma=90.00
Space group P4/mmm (No. 123)
Asymmetric unit:
Na 0.0000 0.0000 0.0000 (multiplicity 1)
C 0.5000 0.5000 0.5000 (multiplicity 1)
Se 0.0000 0.0000 0.5000 (multiplicity 1)
Br 0.0000 0.5000 0.0000 (multiplicity 2)

Values from the calculation:
The calculation puts the formation energy without anion corrections at 144.6 kJ per mole of atoms. The calculation puts the distance to the lowest polymorph of the same formula at 1060 meV per atom. As for the crystal system: tetragonal. The volume comes out at 169.2 Å³/cell. For the total magnetization, the calculation gives 0.203 μB per atom. Its energy is -1.976 eV/atom. As for the density: 2.687 g cm⁻³.